# Cs3I2

Cs3I2 after structural relaxation (PBE, Alexandria via LeMat-Bulk).

It has space group R-3c (No. 167, hexagonal axes), with a = 9.4617 Å, b = 9.4617 Å, c = 28.1521 Å, α = 90.00°, β = 90.00° and γ = 120.00°. Symmetry generates all atoms from Cs at (0.0000, 0.3288, 0.2500) and I at (0.0000, 0.0000, 0.1638).

Its crystal system is trigonal. For the total energy, the calculation gives -2.306 eV/atom.


# BaRe2AgW

BaRe2AgW after structural relaxation (PBE, Alexandria via LeMat-Bulk).

It has space group P4/mmm (No. 123), with a = 5.026 Å, b = 5.026 Å, c = 4.945 Å, α = 90.00°, β = 90.00° and γ = 90.00°. Symmetry generates all atoms from Ba at (0.000, 0.000, 0.000), Re at (0.000, 0.500, 0.500), Ag at (0.500, 0.500, 0.500) and W at (0.500, 0.500, 0.000).

Its calculated formation energy is 2.6453 eV per atom. Its crystal system is tetragonal. For the total energy, the calculation gives -5.879 eV/atom.


# K2PH

K2PH after structural relaxation (PBE, Alexandria via LeMat-Bulk).

It has space group Cm (No. 8), with a = 7.306 Å, b = 7.378 Å, c = 4.433 Å, α = 90.00°, β = 90.11° and γ = 90.00°. Symmetry generates all atoms from K at (0.000, 0.248, 0.000), P at (0.253, 0.500, 0.500) and H at (0.053, 0.500, 0.499).

The energy above the most stable polymorph in this dataset is 0 meV/atom. Its crystal system is monoclinic. For the total energy, the calculation gives -2.968 eV/atom.


# PaCuAgAu

PaCuAgAu after structural relaxation (PBE, Alexandria via LeMat-Bulk).

It has space group F-43m (No. 216), with a = 6.803 Å, b = 6.803 Å, c = 6.803 Å, α = 90.00°, β = 90.00° and γ = 90.00°. Symmetry generates all atoms from Pa at (0.000, 0.000, 0.000), Cu at (0.250, 0.250, 0.750), Ag at (0.000, 0.000, 0.500) and Au at (0.250, 0.250, 0.250).

Its calculated formation energy is -0.0570 eV per atom. Its crystal system is cubic. For the total energy, the calculation gives -4.987 eV/atom.


# RbSnO

RbSnO after structural relaxation (PBE, Alexandria via LeMat-Bulk).

It has space group I4mm (No. 107), with a = 5.405 Å, b = 5.405 Å, c = 8.392 Å, α = 90.00°, β = 90.00° and γ = 90.00°. Symmetry generates all atoms from Rb at (0.000, 0.000, 0.000), Sn at (0.000, 0.000, 0.456) and O at (0.000, 0.000, 0.685).

Its crystal system is tetragonal. For the total energy, the calculation gives -3.806 eV/atom.


# Rb5BiAu2

Rb5BiAu2 after structural relaxation (PBE, Alexandria via LeMat-Bulk).

It has space group I4/mcm (No. 140), with a = 9.220 Å, b = 9.220 Å, c = 16.929 Å, α = 90.00°, β = 90.00° and γ = 90.00°. Symmetry generates all atoms from Rb at (0.000, 0.000, 0.000), Rb at (0.176, 0.324, 0.142), Bi at (0.000, 0.000, 0.250) and Au at (0.113, 0.387, 0.500).

Its calculated formation energy is -0.3411 eV per atom. Its crystal system is tetragonal. For the total energy, the calculation gives -2.250 eV/atom.


# Nd4InNi

Nd4InNi after structural relaxation (PBE, Alexandria via LeMat-Bulk).

It has space group F-43m (No. 216), with a = 14.016 Å, b = 14.016 Å, c = 14.016 Å, α = 90.00°, β = 90.00° and γ = 90.00°. Symmetry generates all atoms from Nd at (0.000, 0.000, 0.187), Nd at (0.058, 0.250, 0.750), Nd at (0.098, 0.098, 0.402), In at (0.170, 0.170, 0.170) and Ni at (0.108, 0.108, 0.608).

Its calculated formation energy is -0.2921 eV per atom. The energy above the most stable polymorph in this dataset is 0 meV/atom. Its crystal system is cubic. For the total energy, the calculation gives -4.891 eV/atom.


# Ca3InO4

Ca3InO4 after structural relaxation (PBE, Alexandria via LeMat-Bulk).

It has space group Pmmn (No. 59, origin choice 2), with a = 4.804 Å, b = 8.094 Å, c = 7.017 Å, α = 90.00°, β = 90.00° and γ = 90.00°. Symmetry generates all atoms from Ca at (0.250, 0.000, 0.167), Ca at (0.250, 0.250, 0.663), In at (0.250, 0.750, 0.669), O at (0.250, 0.006, 0.836), O at (0.250, 0.250, 0.331) and O at (0.250, 0.750, 0.331).

The energy above the most stable polymorph in this dataset is 45 meV/atom. Its crystal system is orthorhombic. For the total energy, the calculation gives -5.972 eV/atom.


# PrSc4Al4

PrSc4Al4 after structural relaxation (PBE, Alexandria via LeMat-Bulk).

It has space group P4_2/n (No. 86, origin choice 2), with a = 8.624 Å, b = 8.624 Å, c = 5.406 Å, α = 90.00°, β = 90.00° and γ = 90.00°. Symmetry generates all atoms from Pr at (0.250, 0.250, 0.250), Sc at (0.099, 0.822, 0.647) and Al at (0.034, 0.135, 0.833).

Its calculated formation energy is -0.1603 eV per atom. Its crystal system is tetragonal. For the total energy, the calculation gives -5.169 eV/atom.


# Na2UCuCl8

Na2UCuCl8 after structural relaxation (PBE, Alexandria via LeMat-Bulk).

It has space group P2/m (No. 10), with a = 6.219 Å, b = 8.788 Å, c = 6.384 Å, α = 90.00°, β = 97.67° and γ = 90.00°. Symmetry generates all atoms from Na at (0.000, 0.222, 0.000), U at (0.500, 0.500, 0.500), Cu at (0.500, 0.000, 0.500), Cl at (0.227, 0.500, 0.163), Cl at (0.253, 0.000, 0.223) and Cl at (0.287, 0.292, 0.657).

Its crystal system is monoclinic. For the total energy, the calculation gives -4.200 eV/atom.


# ReHg2W

ReHg2W after structural relaxation (PBE, Alexandria via LeMat-Bulk).

It has space group Cmmm (No. 65), with a = 5.585 Å, b = 9.231 Å, c = 2.794 Å, α = 90.00°, β = 90.00° and γ = 90.00°. Symmetry generates all atoms from Re at (0.000, 0.000, 0.000), Hg at (0.250, 0.250, 0.500) and W at (0.000, 0.500, 0.000).

Its calculated formation energy is 1.0595 eV per atom. The energy above the most stable polymorph in this dataset is 559 meV/atom. Its crystal system is orthorhombic. For the total energy, the calculation gives -5.442 eV/atom.


# Sr2SiBPd6

Sr2SiBPd6 after structural relaxation (PBE, Alexandria via LeMat-Bulk).

It has space group C2/m (No. 12), with a = 10.326 Å, b = 5.955 Å, c = 6.954 Å, α = 90.00°, β = 119.89° and γ = 90.00°. Symmetry generates all atoms from Sr at (0.221, 0.000, 0.165), Si at (0.000, 0.500, 0.000), B at (0.000, 0.000, 0.500), Pd at (0.025, 0.264, 0.314) and Pd at (0.238, 0.000, 0.684).

Its crystal system is monoclinic. For the total energy, the calculation gives -5.286 eV/atom.


Copy entry 9 word for word.
# PrSc4Al4

PrSc4Al4 after structural relaxation (PBE, Alexandria via LeMat-Bulk).

It has space group P4_2/n (No. 86, origin choice 2), with a = 8.624 Å, b = 8.624 Å, c = 5.406 Å, α = 90.00°, β = 90.00° and γ = 90.00°. Symmetry generates all atoms from Pr at (0.250, 0.250, 0.250), Sc at (0.099, 0.822, 0.647) and Al at (0.034, 0.135, 0.833).

Its calculated formation energy is -0.1603 eV per atom. Its crystal system is tetragonal. For the total energy, the calculation gives -5.169 eV/atom.